Record 1
Below is a geometry-optimized Tm12TlZn6 structure, with properties calculated at the GGA-PBE level.

Cell: 8.5437 8.5437 8.5437 Å, 109.47 109.47 109.47°
With the nearest neighbours (Å) after each atom.
Positions (direct):
Tm: 0.4815 0.1925 0.2890  3 Zn 2.76-3.07
Tm: 0.7110 0.5185 0.8075  3 Zn 2.76-3.07
Tm: 0.1925 0.7110 0.9035  3 Zn 2.76-3.07
Tm: 0.2890 0.0965 0.8075  3 Zn 2.76-3.07
Tm: 0.5185 0.8075 0.7110  3 Zn 2.76-3.07
Tm: 0.0965 0.8075 0.2890  3 Zn 2.76-3.07
Tm: 0.1925 0.2890 0.4815  3 Zn 2.76-3.07
Tm: 0.2890 0.4815 0.1925  3 Zn 2.76-3.07
Tm: 0.7110 0.9035 0.1925  3 Zn 2.76-3.07
Tm: 0.8075 0.7110 0.5185  3 Zn 2.76-3.07
Tm: 0.9035 0.1925 0.7110  3 Zn 2.76-3.07
Tm: 0.8075 0.2890 0.0965  3 Zn 2.76-3.07
Zn: 0.8757 0.3757 0.5000  1 Zn 2.45
Zn: 0.5000 0.8757 0.3757  1 Zn 2.45
Zn: 0.3757 0.5000 0.8757  1 Zn 2.45
Zn: 0.1243 0.6243 0.5000  1 Zn 2.45
Zn: 0.6243 0.5000 0.1243  1 Zn 2.45
Zn: 0.5000 0.1243 0.6243  1 Zn 2.45
Tl: 0.0000 0.0000 0.0000  12 Tm 3.43

Results
SG ... No. 204
Total DFT energy (no corrections) ... -3.549 eV per atom
Fermi-level density of states ... 13.38 states/eV/f.u.
Volume ... 480.08 Å³/cell
Magnetization ... 0.000 μB per atom

Record 2
Below is a geometry-optimized Tm7Tl4Zn structure, with properties calculated at the GGA-PBE level.

Cell: 5.3984 9.1417 7.9494 Å, 80.62 70.15 72.83°
With the nearest neighbours (Å) after each atom.
Positions (direct):
Tl: 0.2861 0.3401 0.0877  8 Tm 3.08-3.35
Tl: 0.4254 0.7828 0.3664  8 Tm 3.07-3.28
Tl: 0.5746 0.2172 0.6336  8 Tm 3.07-3.28
Tl: 0.7139 0.6599 0.9123  8 Tm 3.08-3.35
Tm: 0.7871 0.8650 0.5608  4 Tl 3.08-3.17
Tm: 0.3503 0.5808 0.7186  5 Tl 3.07-3.35
Tm: 0.6497 0.4192 0.2814  5 Tl 3.07-3.35
Tm: 0.9236 0.3112 0.8417  1 Zn 2.89, 1 Tl 3.13
Tm: 0.5000 0.0000 0.0000  2 Zn 2.70
Tm: 0.2129 0.1350 0.4392  4 Tl 3.08-3.17
Tm: 0.0764 0.6888 0.1583  1 Zn 2.89, 1 Tl 3.13
Zn: 0.0000 0.0000 0.0000  4 Tm 2.70-2.89

Results
SG ... No. 12
Total DFT energy (no corrections) ... -3.535 eV per atom
Fermi-level density of states ... 12.39 states/eV/f.u.
Volume ... 351.69 Å³/cell
Magnetization ... 0.000 μB per atom

Record 3
Below is a geometry-optimized TmTlZn structure, with properties calculated at the GGA-PBE level.

Cell: 3.5855 4.6851 4.6851 Å, 120.00 90.00 90.00°
With the nearest neighbours (Å) after each atom.
Positions (direct):
Tm: 0.6683 0.6667 0.3333  6 Zn 3.21-3.28, 6 Tl 3.22-3.27, 2 Tm 3.59
Tl: 0.1812 0.3333 0.6667  3 Zn 2.71
Zn: 0.1505 0.0000 0.0000  3 Tl 2.71

Results
SG ... No. 156
Total DFT energy (no corrections) ... -2.943 eV per atom
Fermi-level density of states ... 1.71 states/eV/f.u.
Volume ... 68.16 Å³/cell
Magnetization ... 0.000 μB per atom

Record 4
Below is a geometry-optimized Tm8TlZn2 structure, with properties calculated at the GGA-PBE level.

Cell: 5.0933 8.1562 8.3491 Å, 116.96 107.76 90.00°
With the nearest neighbours (Å) after each atom.
Positions (direct):
Zn: 0.7815 0.3827 0.5629  8 Tm 2.95-3.20
Zn: 0.2185 0.6173 0.4371  8 Tm 2.95-3.20
Tm: 0.3139 0.0351 0.6279  1 Zn 3.00, 1 Tl 3.11, 4 Tm 3.14-3.23
Tm: 0.3957 0.5329 0.7914  3 Zn 3.03-3.20, 1 Tl 3.35
Tm: 0.8492 0.7897 0.6984  3 Zn 2.96-3.16
Tm: 0.0652 0.7241 0.1304  1 Zn 2.95, 3 Tm 3.23
Tm: 0.6861 0.9649 0.3721  1 Zn 3.00, 1 Tl 3.11, 4 Tm 3.14-3.23
Tm: 0.6043 0.4671 0.2086  3 Zn 3.03-3.20, 1 Tl 3.35
Tm: 0.9348 0.2759 0.8696  1 Zn 2.95, 3 Tm 3.23
Tm: 0.1508 0.2103 0.3016  3 Zn 2.96-3.16
Tl: 0.5000 0.0000 0.0000  8 Tm 3.11-3.36

Results
ΔE to the lowest computed polymorph ... 0 meV/atom
SG ... No. 12
Total DFT energy (no corrections) ... -3.879 eV per atom
Fermi-level density of states ... 8.44 states/eV/f.u.
Volume ... 290.49 Å³/cell
Magnetization ... 0.000 μB per atom

Record 5
Below is a geometry-optimized Tm11Tl9Zn4 structure, with properties calculated at the GGA-PBE level.

Cell: 3.7438 13.1444 13.1444 Å, 112.89 90.00 90.00°
With the nearest neighbours (Å) after each atom.
Positions (direct):
Tm: 0.0000 0.4148 0.0749  2 Zn 2.92, 4 Tl 3.18-3.20
Tm: 0.0000 0.5852 0.9251  2 Zn 2.92, 4 Tl 3.18-3.20
Tm: 0.0000 0.1634 0.8366  8 Tl 3.24-3.35, 3 Tm 3.56-3.58
Tm: 0.0000 0.8366 0.1634  8 Tl 3.24-3.35, 3 Tm 3.56-3.58
Tm: 0.0000 0.2979 0.2979  4 Zn 2.95
Tm: 0.0000 0.7021 0.7021  4 Zn 2.95
Tm: 0.0000 0.6335 0.3665  4 Zn 2.94
Tm: 0.0000 0.9251 0.5852  2 Zn 2.92, 4 Tl 3.18-3.20
Tm: 0.0000 0.0749 0.4148  2 Zn 2.92, 4 Tl 3.18-3.20
Tm: 0.0000 0.0000 0.0000  8 Tl 3.21, 2 Tm 3.58
Tm: 0.0000 0.3665 0.6335  4 Zn 2.94
Tl: 0.5000 0.0622 0.2142  1 Zn 3.16, 8 Tm 3.18-3.41, 1 Tl 3.33
Tl: 0.5000 0.5000 0.5000  4 Zn 3.02
Tl: 0.5000 0.1471 0.6292  1 Zn 3.19, 8 Tm 3.20-3.42, 1 Tl 3.25
Tl: 0.5000 0.7858 0.9378  1 Zn 3.16, 8 Tm 3.18-3.41, 1 Tl 3.33
Tl: 0.5000 0.9378 0.7858  1 Zn 3.16, 8 Tm 3.18-3.41, 1 Tl 3.33
Tl: 0.5000 0.8529 0.3708  1 Zn 3.19, 8 Tm 3.20-3.42, 1 Tl 3.25
Tl: 0.5000 0.6292 0.1471  1 Zn 3.19, 8 Tm 3.20-3.42, 1 Tl 3.25
Tl: 0.5000 0.2142 0.0622  1 Zn 3.16, 8 Tm 3.18-3.41, 1 Tl 3.33
Tl: 0.5000 0.3708 0.8529  1 Zn 3.19, 8 Tm 3.20-3.42, 1 Tl 3.25
Zn: 0.5000 0.7441 0.5491  6 Tm 2.92-2.95, 3 Tl 3.02-3.19
Zn: 0.5000 0.2559 0.4509  6 Tm 2.92-2.95, 3 Tl 3.02-3.19
Zn: 0.5000 0.5491 0.7441  6 Tm 2.92-2.95, 3 Tl 3.02-3.19
Zn: 0.5000 0.4509 0.2559  6 Tm 2.92-2.95, 3 Tl 3.02-3.19

Results
SG ... No. 65
Total DFT energy (no corrections) ... -3.439 eV per atom
Fermi-level density of states ... 17.19 states/eV/f.u.
Volume ... 595.87 Å³/cell
Magnetization ... 0.000 μB per atom

Record 6
Below is a geometry-optimized Tm3Tl2Zn structure, with properties calculated at the GGA-PBE level.

Cell: 3.6176 3.6176 11.4041 Å, 90.00 90.00 90.00°
With the nearest neighbours (Å) after each atom.
Positions (direct):
Tm: 0.0000 0.0000 0.6465  4 Zn 3.06, 4 Tl 3.25, 1 Tm 3.34
Tm: 0.0000 0.0000 0.0000  8 Tl 3.26, 4 Tm 3.62
Tm: 0.0000 0.0000 0.3535  4 Zn 3.06, 4 Tl 3.25, 1 Tm 3.34
Zn: 0.5000 0.5000 0.5000  8 Tm 3.06
Tl: 0.5000 0.5000 0.1776  8 Tm 3.25-3.26, 4 Tl 3.62
Tl: 0.5000 0.5000 0.8224  8 Tm 3.25-3.26, 4 Tl 3.62

Results
ΔE to the lowest computed polymorph ... 0 meV/atom
SG ... No. 123
Total DFT energy (no corrections) ... -3.561 eV per atom
Fermi-level density of states ... 4.51 states/eV/f.u.
Volume ... 149.25 Å³/cell
Magnetization ... 0.028 μB per atom

Record 7
Below is a geometry-optimized Tm6TlZn5 structure, with properties calculated at the GGA-PBE level.

Cell: 5.0191 7.1555 7.9658 Å, 90.00 71.64 90.00°
With the nearest neighbours (Å) after each atom.
Positions (direct):
Zn: 0.6704 0.0000 0.6592  8 Tm 3.02-3.18
Zn: 0.0000 0.5000 0.0000  8 Tm 3.04-3.12
Zn: 0.3296 0.0000 0.3408  8 Tm 3.02-3.18
Zn: 0.3341 0.5000 0.3318  8 Tm 3.02-3.06
Zn: 0.6659 0.5000 0.6682  8 Tm 3.02-3.06
Tm: 0.5000 0.2611 0.0000  6 Zn 3.04-3.18, 2 Tl 3.13
Tm: 0.1709 0.7435 0.6581  7 Zn 3.02-3.12, 1 Tl 3.17
Tm: 0.1709 0.2565 0.6581  7 Zn 3.02-3.12, 1 Tl 3.17
Tm: 0.8291 0.2565 0.3419  7 Zn 3.02-3.12, 1 Tl 3.17
Tm: 0.8291 0.7435 0.3419  7 Zn 3.02-3.12, 1 Tl 3.17
Tm: 0.5000 0.7389 0.0000  6 Zn 3.04-3.18, 2 Tl 3.13
Tl: 0.0000 0.0000 0.0000  8 Tm 3.13-3.17

Results
SG ... No. 65
Total DFT energy (no corrections) ... -3.302 eV per atom
Fermi-level density of states ... 9.77 states/eV/f.u.
Volume ... 271.52 Å³/cell
Magnetization ... 0.000 μB per atom

Record 8
Below is a geometry-optimized Tm5TlZn4 structure, with properties calculated at the GGA-PBE level.

Cell: 3.5486 3.5486 18.0329 Å, 90.00 90.00 90.00°
With the nearest neighbours (Å) after each atom.
Positions (direct):
Tm: 0.5000 0.5000 0.6928  8 Zn 3.04
Tm: 0.5000 0.5000 0.3072  8 Zn 3.04
Tm: 0.5000 0.5000 0.1154  4 Zn 3.06, 4 Tl 3.26
Tm: 0.5000 0.5000 0.5000  8 Zn 3.06
Tm: 0.5000 0.5000 0.8846  4 Zn 3.06, 4 Tl 3.26
Zn: 0.0000 0.0000 0.4025  8 Tm 3.04-3.06
Zn: 0.0000 0.0000 0.2123  8 Tm 3.04-3.06
Zn: 0.0000 0.0000 0.7877  8 Tm 3.04-3.06
Zn: 0.0000 0.0000 0.5975  8 Tm 3.04-3.06
Tl: 0.0000 0.0000 0.0000  8 Tm 3.26, 4 Tl 3.55

Results
SG ... No. 123
Total DFT energy (no corrections) ... -3.326 eV per atom
Fermi-level density of states ... 8.66 states/eV/f.u.
Volume ... 227.08 Å³/cell
Magnetization ... 0.000 μB per atom

Record 9
Below is a geometry-optimized Tm6Tl5Zn structure, with properties calculated at the GGA-PBE level.

Cell: 9.6187 6.3611 6.3897 Å, 60.15 83.55 76.95°
With the nearest neighbours (Å) after each atom.
Positions (direct):
Tm: 0.7580 0.4035 0.6760  1 Zn 3.06, 5 Tl 3.14-3.22
Tm: 0.2474 0.2405 0.0000  1 Zn 3.11, 5 Tl 3.15-3.23
Tm: 0.7580 0.0795 0.3240  1 Zn 3.06, 5 Tl 3.14-3.22
Tm: 0.2420 0.5965 0.3240  1 Zn 3.06, 5 Tl 3.14-3.22
Tm: 0.7526 0.7595 0.0000  1 Zn 3.11, 5 Tl 3.15-3.23
Tm: 0.2420 0.9205 0.6760  1 Zn 3.06, 5 Tl 3.14-3.22
Tl: 0.5000 0.8275 0.3450  6 Tm 3.20-3.22
Tl: 0.0000 0.6635 0.6730  6 Tm 3.14-3.15
Tl: 0.5000 0.1725 0.6550  6 Tm 3.20-3.22
Tl: 0.0000 0.3365 0.3270  6 Tm 3.14-3.15
Tl: 0.5000 0.5000 0.0000  6 Tm 3.20-3.23
Zn: 0.0000 0.0000 0.0000  6 Tm 3.06-3.11

Results
ΔE to the lowest computed polymorph ... 71 meV/atom
SG ... No. 12
Total DFT energy (no corrections) ... -3.553 eV per atom
Fermi-level density of states ... 6.75 states/eV/f.u.
Volume ... 330.33 Å³/cell
Magnetization ... 0.000 μB per atom

Record 10
Below is a geometry-optimized Tm4TlZn2 structure, with properties calculated at the GGA-PBE level.

Cell: 5.0199 5.0199 8.6197 Å, 73.07 73.07 60.00°
With the nearest neighbours (Å) after each atom.
Positions (direct):
Tm: 0.1320 0.1320 0.6039  4 Zn 2.91-3.14, 1 Tl 3.22
Tm: 0.8680 0.8680 0.3961  4 Zn 2.91-3.14, 1 Tl 3.22
Tm: 0.6135 0.6135 0.1594  4 Zn 2.98-3.29, 3 Tl 3.17
Tm: 0.3865 0.3865 0.8406  4 Zn 2.98-3.29, 3 Tl 3.17
Zn: 0.7486 0.7486 0.7541  7 Tm 2.91-3.14
Zn: 0.2514 0.2514 0.2459  7 Tm 2.91-3.14
Tl: 0.0000 0.0000 0.0000  8 Tm 3.17-3.22, 6 Zn 3.52

Results
ΔE to the lowest computed polymorph ... 0 meV/atom
SG ... No. 166
Total DFT energy (no corrections) ... -3.422 eV per atom
Fermi-level density of states ... 6.56 states/eV/f.u.
Volume ... 177.16 Å³/cell
Magnetization ... 0.000 μB per atom

Q: What is the volume in the third record?
A: 68.16 Å³/cell

Q: What is the formula in the sixth record?
A: Tm3Tl2Zn

Q: What is the formula in the seventh record?
A: Tm6TlZn5

Q: Fermi-level density of states of number 1 (Tm12TlZn6)?
A: 13.38 states/eV/f.u.